The following is a PBEsol calculation of a relaxed structure of Er2ZnTc, from Alexandria via LeMat-Bulk.

Cell: 6.7851 6.7851 6.7851 Å, 90.00 90.00 90.00°
Closest atoms and distances in Å follow each position.
Fractional positions:
Er1 0.2500 0.2500 0.2500  4 Tc 2.94, 4 Zn 2.94
Er2 0.2500 0.2500 0.7500  4 Tc 2.94, 4 Zn 2.94
Er3 0.2500 0.7500 0.2500  4 Tc 2.94, 4 Zn 2.94
Er4 0.2500 0.7500 0.7500  4 Tc 2.94, 4 Zn 2.94
Er5 0.7500 0.2500 0.2500  4 Tc 2.94, 4 Zn 2.94
Er6 0.7500 0.2500 0.7500  4 Tc 2.94, 4 Zn 2.94
Er7 0.7500 0.7500 0.2500  4 Tc 2.94, 4 Zn 2.94
Er8 0.7500 0.7500 0.7500  4 Tc 2.94, 4 Zn 2.94
Zn1 0.0000 0.0000 0.0000  8 Er 2.94
Zn2 0.0000 0.5000 0.5000  8 Er 2.94
Zn3 0.5000 0.0000 0.5000  8 Er 2.94
Zn4 0.5000 0.5000 0.0000  8 Er 2.94
Tc1 0.0000 0.0000 0.5000  8 Er 2.94
Tc2 0.0000 0.5000 0.0000  8 Er 2.94
Tc3 0.5000 0.0000 0.0000  8 Er 2.94
Tc4 0.5000 0.5000 0.5000  8 Er 2.94

## Properties
* DOS at the Fermi energy: 0.6604 states/eV per atom
* energy: -5.833 eV/atom
* energy relative to the elements: -158 meV/atom